Be3Rh (SCAN, PBEsol geometry); formation energy from the elements = -200 kJ/mol of formula units; SG = P4/mmm, No. 123; spin magnetization = 0.000 μB per formula unit
1.0
3.368 0.000 0.000
0.000 3.368 0.000
0.000 0.000 3.309
Be Rh
3 1
Cartesian
0.000 0.000 0.000
0.000 1.684 1.654
1.684 0.000 1.654
1.684 1.684 0.000


Be3Rh (SCAN, PBEsol geometry); formation energy from the elements = -225 kJ/mol of formula units; SG = Pmmn, No. 59; spin magnetization = 0.003 μB per formula unit
1.0
3.700 0.000 0.000
0.000 4.640 0.000
0.000 0.000 4.286
Be Rh
6 2
Cartesian
0.925 0.031 0.646
0.925 2.289 0.646
0.925 3.480 2.936
2.775 1.160 1.350
2.775 2.351 3.639
2.775 4.608 3.639
0.925 1.160 2.781
2.775 3.480 1.505


Be3Rh (SCAN, PBEsol geometry); formation energy from the elements = -213 kJ/mol of formula units; SG = I4/mmm, No. 139; spin magnetization = 0.000 μB per formula unit
1.0
-1.654 1.654 6.839
1.654 -1.654 6.839
1.654 1.654 -6.839
Be Rh
6 2
Cartesian
1.654 0.000 0.000
0.000 0.000 1.750
1.654 0.000 3.420
0.000 1.654 0.000
0.000 1.654 3.420
0.000 0.000 11.929
0.000 0.000 5.167
0.000 0.000 8.512


What is the formula in the second record? Be3Rh


Which formula does entry 2 have? Be3Rh


What is the formula in the third record? Be3Rh


What is the formation energy from the elements in the second record? -225 kJ/mol of formula units